{
  "formula": "CsNb2PW",
  "functional": "GGA-PBE",
  "state": "relaxed",
  "lattice": [[4.746, 0.000, 0.000], [0.000, 4.746, 0.000], [0.000, 0.000, 5.899]],
  "species": ["Cs", "Nb", "Nb", "P", "W"],
  "frac_coords": [[0.000, 0.000, 0.000], [0.000, 0.500, 0.500], [0.500, 0.000, 0.500], [0.000, 0.000, 0.500], [0.500, 0.500, 0.000]],
  "magnetic_moment_mub_per_fu": 1.67,
  "e_form_mev_per_atom": 1740,
  "vol_a3_per_atom": 26.6
}

{
  "formula": "RbIn3Pb2",
  "functional": "GGA-PBE",
  "state": "relaxed",
  "lattice": [[9.279, -2.806, 0.000], [9.279, 2.806, 0.000], [-2.661, 0.000, 7.649]],
  "species": ["Rb", "Rb", "In", "In", "In", "In", "In", "In", "Pb", "Pb", "Pb", "Pb"],
  "frac_coords": [[0.119, 0.119, 0.179], [0.881, 0.881, 0.821], [0.059, 0.059, 0.678], [0.302, 0.302, 0.085], [0.365, 0.365, 0.481], [0.635, 0.635, 0.519], [0.698, 0.698, 0.915], [0.941, 0.941, 0.322], [0.227, 0.227, 0.677], [0.483, 0.483, 0.186], [0.517, 0.517, 0.814], [0.773, 0.773, 0.323]],
  "magnetic_moment_mub_per_fu": 0.00,
  "e_form_mev_per_atom": -50,
  "vol_a3_per_atom": 33.2,
  "polymorph_energy_mev_per_atom": 0
}

{
  "formula": "BaSr2Ag",
  "functional": "GGA-PBE",
  "state": "relaxed",
  "lattice": [[5.302, 0.000, 0.000], [0.000, 5.302, 0.000], [0.000, 0.000, 12.533]],
  "species": ["Ba", "Ba", "Sr", "Sr", "Sr", "Sr", "Ag", "Ag"],
  "frac_coords": [[0.000, 0.000, 0.000], [0.500, 0.500, 0.500], [0.000, 0.500, 0.250], [0.000, 0.500, 0.750], [0.500, 0.000, 0.250], [0.500, 0.000, 0.750], [0.000, 0.000, 0.500], [0.500, 0.500, 0.000]],
  "magnetic_moment_mub_per_fu": 0.00,
  "e_form_mev_per_atom": 79,
  "vol_a3_per_atom": 44.0,
  "polymorph_energy_mev_per_atom": 234
}

{
  "formula": "Dy2ZnCuSi2",
  "functional": "GGA-PBE",
  "state": "relaxed",
  "lattice": [[4.017, 0.000, 0.000], [0.000, 4.086, 0.000], [0.000, 0.000, 7.068]],
  "species": ["Dy", "Dy", "Zn", "Cu", "Si", "Si"],
  "frac_coords": [[0.000, 0.000, 0.000], [0.000, 0.500, 0.491], [0.500, 0.500, 0.829], [0.500, 0.000, 0.326], [0.500, 0.000, 0.655], [0.500, 0.500, 0.168]],
  "magnetic_moment_mub_per_fu": 0.00,
  "formation_energy_uncorrected_ev_per_fu": -3.82,
  "vol_a3_per_atom": 19.3
}

{
  "formula": "Mg2SiTc",
  "functional": "GGA-PBE",
  "state": "relaxed",
  "lattice": [[5.388, 0.000, 0.000], [0.000, 8.699, 0.000], [0.000, 0.000, 2.751]],
  "species": ["Mg", "Mg", "Mg", "Mg", "Si", "Si", "Tc", "Tc"],
  "frac_coords": [[0.250, 0.250, 0.000], [0.250, 0.750, 0.000], [0.750, 0.250, 0.000], [0.750, 0.750, 0.000], [0.000, 0.000, 0.500], [0.500, 0.500, 0.500], [0.000, 0.500, 0.500], [0.500, 0.000, 0.500]],
  "magnetic_moment_mub_per_fu": 0.00,
  "formation_energy_uncorrected_ev_per_fu": 0.57,
  "vol_a3_per_atom": 16.1
}

Q: Which formula does entry 5 have?
A: Mg2SiTc

Q: What is the formula in the fifth record?
A: Mg2SiTc